Record 1
A plane-wave DFT calculation with PBE was carried out for a relaxed Tb2AlRu3 crystal.

Computed properties:
formation energy from the elements = -428 meV per atom
D(E_F) = 15.1 states/eV per cell

Unit cell a=5.464 b=5.464 c=8.455 alpha=90.00 beta=90.00 gamma=120.00
Atoms (fractional coordinates):
Tb  0.333  0.667  0.066
Tb  0.333  0.667  0.434
Tb  0.667  0.333  0.566
Tb  0.667  0.333  0.934
Al  0.000  0.000  0.000
Al  0.000  0.000  0.500
Ru  0.171  0.341  0.750
Ru  0.171  0.829  0.750
Ru  0.341  0.171  0.250
Ru  0.659  0.829  0.750
Ru  0.829  0.171  0.250
Ru  0.829  0.659  0.250

=====

Record 2
A plane-wave DFT calculation with PBE was carried out for a relaxed CdIn3BiPb crystal.

Computed properties:
formation energy from the elements = 37 meV per atom
D(E_F) = 5.5 states/eV per cell

Unit cell a=7.939 b=4.593 c=9.777 alpha=90.00 beta=106.82 gamma=90.00
Atoms (fractional coordinates):
Cd  0.003  0.250  0.383
Cd  0.997  0.750  0.617
In  0.324  0.750  0.450
In  0.338  0.250  0.216
In  0.338  0.750  0.966
In  0.662  0.250  0.034
In  0.662  0.750  0.784
In  0.676  0.250  0.550
Bi  0.008  0.250  0.867
Bi  0.992  0.750  0.133
Pb  0.315  0.250  0.692
Pb  0.685  0.750  0.308

=====

Record 3
A plane-wave DFT calculation with PBE was carried out for a relaxed LiPrSi4 crystal.

Computed properties:
D(E_F) = 0.0 states/eV per cell
formation energy (no corrections) = -0.239 eV/atom

Unit cell a=5.316 b=5.316 c=5.316 alpha=60.00 beta=60.00 gamma=60.00
Atoms (fractional coordinates):
Li  0.000  0.000  0.000
Pr  0.750  0.750  0.750
Si  0.371  0.371  0.371
Si  0.371  0.371  0.886
Si  0.371  0.886  0.371
Si  0.886  0.371  0.371

=====

Record 4
A plane-wave DFT calculation with PBE was carried out for a relaxed Ca2FeHg crystal.

Computed properties:
formation energy from the elements = 214 meV per atom
D(E_F) = 16.4 states/eV per cell

Unit cell a=4.497 b=4.497 c=9.704 alpha=90.00 beta=90.00 gamma=90.00
Atoms (fractional coordinates):
Ca  0.000  0.000  0.000
Ca  0.000  0.500  0.250
Ca  0.500  0.000  0.750
Ca  0.500  0.500  0.500
Fe  0.000  0.500  0.750
Fe  0.500  0.000  0.250
Hg  0.000  0.000  0.500
Hg  0.500  0.500  0.000

=====

Record 5
A plane-wave DFT calculation with PBE was carried out for a relaxed Na2Nd2PaSe6 crystal.

Computed properties:
D(E_F) = 2.6 states/eV per cell
formation energy (no corrections) = -1.584 eV/atom

Unit cell a=7.345 b=7.345 c=7.455 alpha=99.56 beta=99.56 gamma=119.49
Atoms (fractional coordinates):
Na  0.170  0.830  0.000
Na  0.830  0.170  0.000
Nd  0.334  0.666  0.500
Nd  0.666  0.334  0.500
Pa  0.000  0.000  0.500
Se  0.074  0.399  0.730
Se  0.241  0.241  0.271
Se  0.399  0.074  0.730
Se  0.601  0.926  0.270
Se  0.759  0.759  0.729
Se  0.926  0.601  0.270

=====

Record 6
A plane-wave DFT calculation with PBE was carried out for a relaxed Na4Ga5Pt3 crystal.

Computed properties:
formation energy from the elements = -345 meV per atom
D(E_F) = 4.0 states/eV per cell

Unit cell a=7.743 b=7.743 c=7.267 alpha=110.83 beta=110.83 gamma=35.47
Atoms (fractional coordinates):
Na  0.097  0.097  0.441
Na  0.179  0.179  0.922
Na  0.821  0.821  0.078
Na  0.903  0.903  0.559
Ga  0.000  0.000  0.000
Ga  0.319  0.319  0.720
Ga  0.440  0.440  0.305
Ga  0.560  0.560  0.695
Ga  0.681  0.681  0.280
Pt  0.276  0.276  0.344
Pt  0.500  0.500  0.000
Pt  0.724  0.724  0.656

=====

Record 7
A plane-wave DFT calculation with PBE was carried out for a relaxed CeAl2Ga7 crystal.

Computed properties:
formation energy from the elements = -83 meV per atom
D(E_F) = 6.9 states/eV per cell

Unit cell a=9.808 b=9.808 c=3.963 alpha=90.00 beta=90.00 gamma=147.14
Atoms (fractional coordinates):
Ce  0.000  0.000  0.000
Al  0.265  0.735  0.500
Al  0.735  0.265  0.500
Ga  0.135  0.365  0.500
Ga  0.175  0.825  0.000
Ga  0.365  0.135  0.500
Ga  0.500  0.500  0.500
Ga  0.635  0.865  0.500
Ga  0.825  0.175  0.000
Ga  0.865  0.635  0.500

=====

Record 8
A plane-wave DFT calculation with PBE was carried out for a relaxed MnNi2Sn crystal.

Computed properties:
formation energy from the elements = -101 meV per atom
D(E_F) = 2.5 states/eV per cell

Unit cell a=4.060 b=4.060 c=3.397 alpha=90.00 beta=90.00 gamma=90.00
Atoms (fractional coordinates):
Mn  0.000  0.000  0.000
Ni  0.000  0.500  0.500
Ni  0.500  0.000  0.500
Sn  0.500  0.500  0.000

=====

Record 9
A plane-wave DFT calculation with PBE was carried out for a relaxed Sc2BePb2 crystal.

Computed properties:
formation energy from the elements = 30 meV per atom
D(E_F) = 7.2 states/eV per cell
E above lowest polymorph = 0.046 eV/atom

Unit cell a=7.087 b=7.087 c=4.645 alpha=90.00 beta=90.00 gamma=90.00
Atoms (fractional coordinates):
Sc  0.161  0.339  0.000
Sc  0.339  0.839  0.000
Sc  0.661  0.161  0.000
Sc  0.839  0.661  0.000
Be  0.000  0.000  0.000
Be  0.500  0.500  0.000
Pb  0.158  0.658  0.500
Pb  0.342  0.158  0.500
Pb  0.658  0.842  0.500
Pb  0.842  0.342  0.500

=====

Record 10
A plane-wave DFT calculation with PBE was carried out for a relaxed NaP2RhO8 crystal.

Computed properties:
D(E_F) = 5.4 states/eV per cell
formation energy (no corrections) = -1.352 eV/atom

Unit cell a=5.624 b=5.624 c=5.624 alpha=106.07 beta=106.07 gamma=116.51
Atoms (fractional coordinates):
Na  0.000  0.000  0.000
P  0.500  0.500  0.000
P  0.750  0.250  0.500
Rh  0.250  0.750  0.500
O  0.335  0.156  0.820
O  0.335  0.515  0.180
O  0.405  0.077  0.327
O  0.485  0.665  0.820
O  0.750  0.077  0.673
O  0.844  0.665  0.180
O  0.923  0.250  0.327
O  0.923  0.595  0.673

=====

Record 11
A plane-wave DFT calculation with PBE was carried out for a relaxed ErGaSb crystal.

Computed properties:
D(E_F) = 1.5 states/eV per cell
formation energy (no corrections) = -0.400 eV/atom
E above lowest polymorph = 0.077 eV/atom

Unit cell a=4.719 b=4.719 c=3.858 alpha=90.00 beta=90.00 gamma=120.00
Atoms (fractional coordinates):
Er  0.000  0.000  0.000
Ga  0.667  0.333  0.612
Sb  0.333  0.667  0.458

=====

Record 12
A plane-wave DFT calculation with PBE was carried out for a relaxed ZrAs2Ru crystal.

Computed properties:
formation energy from the elements = -238 meV per atom
D(E_F) = 5.2 states/eV per cell
E above lowest polymorph = 0.367 eV/atom

Unit cell a=3.042 b=5.289 c=8.817 alpha=90.00 beta=90.00 gamma=90.00
Atoms (fractional coordinates):
Zr  0.000  0.000  0.000
Zr  0.500  0.500  0.500
As  0.000  0.500  0.222
As  0.000  0.500  0.778
As  0.500  0.000  0.278
As  0.500  0.000  0.722
Ru  0.000  0.000  0.500
Ru  0.500  0.500  0.000